First-principles (GGA-PBE) data for a relaxed structure of LaZr2Tl, as listed in Alexandria via LeMat-Bulk.

Summary:
**Formation energy from the elements**: 0.01 eV/f.u.
**D(E_F)**: 4.44 states/eV per cell
**Polymorph energy (0 for the lowest one)**: 32 meV per atom
**Total energy**: -6.10 eV per atom
**Size of the total moment**: 0.00 μB per formula unit

a b c (Å): 3.293 5.466 5.741
angles (deg): 90.00 90.06 90.00
Sites, in units of the cell vectors:
La 0.000 0.000 0.000
Zr 0.003 0.500 0.643
Zr 0.502 0.000 0.498
Tl 0.501 0.500 0.181